Entry 1:
A relaxed Th3Zn9Au2 crystal. Source: the Alexandria database, functional PBE-GGA.

Calculated values
The value obtained for the total moment is 0.00 μB/atom. Its calculated formation energy is -0.35 eV per atom. As for the theoretical density: 10.3 Mg/m³.

Cell: 4.4735 9.0682 13.3608 Å, 90.00 90.00 90.00°
Closest atoms and distances in Å follow each position.
Space group Immm (No. 71)
Symmetry-distinct sites (fractional):
Th  0.0000  0.0000  0.0000 (multiplicity 2)  12 Zn 3.14-3.34
Th  0.0000  0.0000  0.2983 (multiplicity 4)  12 Zn 3.12-3.33, 2 Au 3.19
Zn  0.0000  0.2776  0.1403 (multiplicity 8)  4 Zn 2.59-2.77
Zn  0.0000  0.3628  0.3392 (multiplicity 8)  4 Zn 2.49-2.77, 1 Au 2.66
Zn  0.0000  0.5000  0.0000 (multiplicity 2)  4 Zn 2.75, 4 Au 2.82
Au  0.0000  0.1889  0.5000 (multiplicity 4)  8 Zn 2.66-2.93

---

Entry 2:
A relaxed GaRe crystal. Source: the Alexandria database, functional PBE-GGA.

Calculated values
The value obtained for the total moment is 0.00 μB/atom. Its calculated formation energy is 0.79 eV per atom. As for the theoretical density: 10.1 Mg/m³.

Cell: 10.0239 10.0239 3.3585 Å, 90.00 90.00 90.00°
Closest atoms and distances in Å follow each position.
Space group I4/m (No. 87)
Symmetry-distinct sites (fractional):
Ga  0.0386  0.8175  0.0000 (multiplicity 8)  4 Re 2.53-2.67, 2 Ga 2.64
Re  0.1835  0.3029  0.0000 (multiplicity 8)  2 Re 2.39, 4 Ga 2.53-2.67

---

Entry 3:
A relaxed PaTcPd2 crystal. Source: the Alexandria database, functional PBE-GGA.

Calculated values
As for the energy above the most stable polymorph in this dataset: 439 meV per atom. The value obtained for the total moment is 0.27 μB/atom. Its calculated formation energy is -0.08 eV per atom. As for the theoretical density: 12.3 Mg/m³.

Cell: 6.6368 6.6368 6.6368 Å, 90.00 90.00 90.00°
Closest atoms and distances in Å follow each position.
Space group Fm-3m (No. 225)
Symmetry-distinct sites (fractional):
Pa  0.0000  0.0000  0.0000 (multiplicity 4)  8 Pd 2.87
Tc  0.0000  0.0000  0.5000 (multiplicity 4)  8 Pd 2.87
Pd  0.2500  0.2500  0.2500 (multiplicity 8)  4 Pa 2.87, 4 Tc 2.87

---

| no. | final energy (eV/f.u.) |
| --- | --- |
| 1 | -45.16 |
| 2 | -13.90 |
| 3 | -30.57 |